[1]
Here is an optimized crystal structure of Ca6In2NF from Alexandria via LeMat-Bulk. Energies are from PBEsol.

The structure in POSCAR format:
```
Ca6In2NF
1.0
0.0000 4.9024 4.9024
4.9024 0.0000 4.9024
4.9024 4.9024 0.0000
Ca In N F
6 2 1 1
Cartesian
4.9024 4.9024 2.3582
4.9024 2.3582 4.9024
7.4466 4.9024 4.9024
2.3582 4.9024 4.9024
4.9024 7.4466 4.9024
4.9024 4.9024 7.4466
2.4512 2.4512 2.4512
7.3536 7.3536 7.3536
0.0000 0.0000 0.0000
4.9024 4.9024 4.9024
```

Summary:
For the density of states at the Fermi level, the calculation gives 7.66 states/eV/f.u. The space group is Fm-3m. The raw formation energy comes out at -1.12 eV per atom. The value obtained for the size of the total moment is 0.00 μB per cell.

=====

[2]
Here is an optimized crystal structure of CaInPtF2 from Alexandria via LeMat-Bulk. Energies are from PBEsol.

The structure in POSCAR format:
```
CaInPtF2
1.0
4.0922 0.0000 0.0000
0.0000 4.0922 0.0000
0.0000 0.0000 6.0344
Ca In Pt F
1 1 1 2
Cartesian
0.0000 0.0000 0.0000
2.0461 2.0461 3.0172
0.0000 0.0000 3.0172
0.0000 2.0461 0.0000
2.0461 0.0000 0.0000
```

Summary:
For the density of states at the Fermi level, the calculation gives 0.73 states/eV/f.u. The space group is P4/mmm. The raw formation energy comes out at -1.80 eV per atom. The value obtained for the size of the total moment is 0.00 μB per cell.